This record from Alexandria via LeMat-Bulk describes a relaxed Li4ThMn3O12 crystal. The functional is PBE+U.

Unit cell a=6.4745 b=6.4745 c=6.4745 alpha=109.47 beta=109.47 gamma=109.47
Atoms (fractional coordinates):
1 Li 0.0000 0.0000 0.5000
2 Li 0.0000 0.5000 0.0000
3 Li 0.5000 0.0000 0.0000
4 Li 0.5000 0.5000 0.5000
5 Th 0.0000 0.0000 0.0000
6 Mn 0.0000 0.5000 0.5000
7 Mn 0.5000 0.0000 0.5000
8 Mn 0.5000 0.5000 0.0000
9 O 0.1448 0.3056 0.8391
10 O 0.1609 0.4665 0.3056
11 O 0.1609 0.8552 0.6944
12 O 0.3056 0.1609 0.4665
13 O 0.3056 0.8391 0.1448
14 O 0.4665 0.3056 0.1609
15 O 0.5335 0.6944 0.8391
16 O 0.6944 0.1609 0.8552
17 O 0.6944 0.8391 0.5335
18 O 0.8391 0.1448 0.3056
19 O 0.8391 0.5335 0.6944
20 O 0.8552 0.6944 0.1609

Values from the calculation:
Symmetry: Im-3
Uncorrected energy (eV/atom): -6.271
DOS at the Fermi energy (states/eV/atom): 0.504
Total magnetization (μB/f.u.): 5.00